Entry 1:
# Li2TeAu, optimized geometry, DFT GGA-PBE
# E_tot	-12.6	eV per cell
# relative energy among the computed polymorphs	0.0039	eV/atom
# ΔE_f (raw)	-0.59	eV per atom
data_Li2TeAu
_chemical_formula_sum 'Li2 Te1 Au1'
_space_group_name_H-M_alt 'P 4/m m m'
_space_group_IT_number 123
_space_group_name_Hall '-P 4 2'
_cell_length_a 4.294
_cell_length_b 4.294
_cell_length_c 4.019
_cell_angle_alpha 90.00
_cell_angle_beta 90.00
_cell_angle_gamma 90.00
loop_
_atom_site_label
_atom_site_fract_x
_atom_site_fract_y
_atom_site_fract_z
Li1 0.000 0.500 0.000
Te1 0.000 0.000 0.500
Au1 0.500 0.500 0.500

---

Entry 2:
# MnSi2SbAu, optimized geometry, DFT GGA-PBE
# E_tot	-21.0	eV per cell
# ΔE_f (raw)	1.29	eV per atom
data_MnSi2SbAu
_chemical_formula_sum 'Mn1 Si2 Sb1 Au1'
_space_group_name_H-M_alt 'P 4/m m m'
_space_group_IT_number 123
_space_group_name_Hall '-P 4 2'
_cell_length_a 5.193
_cell_length_b 5.193
_cell_length_c 4.975
_cell_angle_alpha 90.00
_cell_angle_beta 90.00
_cell_angle_gamma 90.00
loop_
_atom_site_label
_atom_site_fract_x
_atom_site_fract_y
_atom_site_fract_z
Mn1 0.000 0.000 0.000
Si1 0.000 0.500 0.500
Sb1 0.000 0.000 0.500
Au1 0.500 0.500 0.000

---

Entry 3:
# TbSmPtPb, optimized geometry, DFT GGA-PBE
# E_tot	-87.8	eV per cell
# formation enthalpy at 0 K	-714.7	meV per atom
data_TbSmPtPb
_chemical_formula_sum 'Tb4 Sm4 Pt4 Pb4'
_space_group_name_H-M_alt 'F -4 3 m'
_space_group_IT_number 216
_space_group_name_Hall 'F -4 2 3'
_cell_length_a 7.425
_cell_length_b 7.425
_cell_length_c 7.425
_cell_angle_alpha 90.00
_cell_angle_beta 90.00
_cell_angle_gamma 90.00
loop_
_atom_site_label
_atom_site_fract_x
_atom_site_fract_y
_atom_site_fract_z
Tb1 0.000 0.000 0.000
Sm1 0.000 0.000 0.500
Pt1 0.250 0.250 0.750
Pb1 0.250 0.250 0.250

---

The highest E_tot belongs to which entry? Li2TeAu

---

What is the formula in the second record? MnSi2SbAu

---

What is the formula in the third record? TbSmPtPb